1.
Entry from the Alexandria database: a geometry-optimized MgTiZn structure (PBE).

total magnetization: 0.0 μB per formula unit
VASP energy: -3.567 eV/atom
theoretical density: 4199 kg/m³

Unit cell a=2.9983 b=2.9983 c=41.9215 alpha=90.00 beta=90.00 gamma=120.00
Space group R3m (No. 160, hexagonal axes)
Asymmetric unit:
Mg 0.0000 0.0000 0.0000 [3 per cell]
Mg 0.0000 0.0000 0.1119 [3 per cell]
Ti 0.0000 0.0000 0.2209 [3 per cell]
Ti 0.0000 0.0000 0.6061 [3 per cell]
Zn 0.0000 0.0000 0.7224 [3 per cell]
Zn 0.0000 0.0000 0.8343 [3 per cell]

2.
Entry from the Alexandria database: a geometry-optimized MgTi2Zn6 structure (PBE).

total magnetization: 0.0 μB per formula unit
energy relative to the lowest polymorph listed for this composition: 0.000 eV/atom
theoretical density: 5902 kg/m³

Unit cell a=6.692 b=10.560 c=4.080 alpha=90.00 beta=90.00 gamma=90.00
Space group Cmmm (No. 65)
Asymmetric unit:
Mg 0.000 0.000 0.000 [2 per cell]
Ti 0.000 0.219 0.500 [4 per cell]
Zn 0.184 0.356 0.000 [8 per cell]
Zn 0.213 0.500 0.500 [4 per cell]

3.
Entry from the Alexandria database: a geometry-optimized Mg2TiZn structure (PBE).

total magnetization: 0.0 μB per formula unit
VASP energy: -3.001 eV/atom
theoretical density: 3709 kg/m³

Unit cell a=6.618 b=6.618 c=6.618 alpha=90.00 beta=90.00 gamma=90.00
Space group F-43m (No. 216)
Asymmetric unit:
Mg 0.000 0.000 0.000 [4 per cell]
Mg 0.250 0.250 0.250 [4 per cell]
Ti 0.000 0.000 0.500 [4 per cell]
Zn 0.250 0.250 0.750 [4 per cell]

4.
Entry from the Alexandria database: a geometry-optimized MgTi2Zn3 structure (PBE).

total magnetization: 1.0 μB per formula unit
VASP energy: -3.685 eV/atom
theoretical density: 5416 kg/m³

Unit cell a=2.928 b=2.928 c=11.307 alpha=90.00 beta=90.00 gamma=90.00
Space group P4/mmm (No. 123)
Asymmetric unit:
Mg 0.000 0.000 0.000 [1 per cell]
Ti 0.000 0.000 0.335 [2 per cell]
Zn 0.500 0.500 0.173 [2 per cell]
Zn 0.500 0.500 0.500 [1 per cell]

5.
Entry from the Alexandria database: a geometry-optimized MgTiZn4 structure (PBE).

total magnetization: 0.0 μB per formula unit
energy relative to the lowest polymorph listed for this composition: 0.000 eV/atom
theoretical density: 5774 kg/m³

Unit cell a=2.913 b=4.324 c=7.620 alpha=90.00 beta=90.00 gamma=90.00
Space group Pmmm (No. 47)
Asymmetric unit:
Mg 0.000 0.000 0.000 [1 per cell]
Ti 0.000 0.500 0.500 [1 per cell]
Zn 0.500 0.000 0.339 [2 per cell]
Zn 0.500 0.500 0.171 [2 per cell]

6.
Entry from the Alexandria database: a geometry-optimized Mg2TiZn structure (PBE).

total magnetization: 0.5 μB per formula unit
VASP energy: -3.068 eV/atom
theoretical density: 3693 kg/m³

Unit cell a=4.094 b=4.094 c=4.343 alpha=90.00 beta=90.00 gamma=90.00
Space group P4/mmm (No. 123)
Asymmetric unit:
Mg 0.000 0.500 0.000 [2 per cell]
Ti 0.000 0.000 0.500 [1 per cell]
Zn 0.500 0.500 0.500 [1 per cell]

7.
Entry from the Alexandria database: a geometry-optimized Mg6TiZn structure (PBE).

total magnetization: 0.9 μB per formula unit
energy relative to the lowest polymorph listed for this composition: 0.000 eV/atom
theoretical density: 2603 kg/m³

Unit cell a=4.877 b=6.212 c=10.911 alpha=90.00 beta=90.00 gamma=90.00
Space group Amm2 (No. 38)
Asymmetric unit:
Mg 0.000 0.000 0.000 [2 per cell]
Mg 0.000 0.243 0.254 [4 per cell]
Mg 0.500 0.000 0.836 [2 per cell]
Mg 0.500 0.243 0.588 [4 per cell]
Ti 0.500 0.000 0.345 [2 per cell]
Zn 0.000 0.000 0.486 [2 per cell]

8.
Entry from the Alexandria database: a geometry-optimized Mg2TiZn3 structure (PBE).

total magnetization: 0.0 μB per formula unit
VASP energy: -2.596 eV/atom
theoretical density: 4763 kg/m³

Unit cell a=3.131 b=3.131 c=10.409 alpha=90.00 beta=90.00 gamma=90.00
Space group P4/mmm (No. 123)
Asymmetric unit:
Mg 0.000 0.000 0.174 [2 per cell]
Ti 0.000 0.000 0.500 [1 per cell]
Zn 0.500 0.500 0.000 [1 per cell]
Zn 0.500 0.500 0.346 [2 per cell]

9.
Entry from the Alexandria database: a geometry-optimized MgTiZn6 structure (PBE).

total magnetization: 0.0 μB per formula unit
VASP energy: -2.239 eV/atom
theoretical density: 6135 kg/m³

Unit cell a=4.031 b=4.031 c=7.739 alpha=90.00 beta=90.00 gamma=90.00
Space group P4/mmm (No. 123)
Asymmetric unit:
Mg 0.000 0.000 0.000 [1 per cell]
Ti 0.000 0.000 0.500 [1 per cell]
Zn 0.000 0.500 0.257 [4 per cell]
Zn 0.500 0.500 0.000 [1 per cell]
Zn 0.500 0.500 0.500 [1 per cell]

10.
Entry from the Alexandria database: a geometry-optimized MgTi4Zn5 structure (PBE).

total magnetization: 0.0 μB per formula unit
VASP energy: -4.102 eV/atom
theoretical density: 5647 kg/m³

Unit cell a=3.173 b=3.173 c=15.854 alpha=90.00 beta=90.00 gamma=90.00
Space group P4/mmm (No. 123)
Asymmetric unit:
Mg 0.000 0.000 0.000 [1 per cell]
Ti 0.000 0.000 0.205 [2 per cell]
Ti 0.000 0.000 0.402 [2 per cell]
Zn 0.500 0.500 0.110 [2 per cell]
Zn 0.500 0.500 0.306 [2 per cell]
Zn 0.500 0.500 0.500 [1 per cell]

11.
Entry from the Alexandria database: a geometry-optimized MgTiZn structure (PBE).

total magnetization: 0.0 μB per formula unit
VASP energy: -3.618 eV/atom
theoretical density: 4311 kg/m³

Unit cell a=2.994 b=2.994 c=11.821 alpha=90.00 beta=90.00 gamma=90.00
Space group P4mm (No. 99)
Asymmetric unit:
Mg 0.000 0.000 0.000 [1 per cell]
Mg 0.000 0.000 0.329 [1 per cell]
Ti 0.000 0.000 0.687 [1 per cell]
Ti 0.500 0.500 0.527 [1 per cell]
Zn 0.500 0.500 0.163 [1 per cell]
Zn 0.500 0.500 0.840 [1 per cell]

12.
Entry from the Alexandria database: a geometry-optimized Mg4TiZn5 structure (PBE).

total magnetization: 0.0 μB per formula unit
VASP energy: -2.168 eV/atom
theoretical density: 4510 kg/m³

Unit cell a=3.063 b=3.063 c=18.528 alpha=90.00 beta=90.00 gamma=90.00
Space group P4/mmm (No. 123)
Asymmetric unit:
Mg 0.000 0.000 0.103 [2 per cell]
Mg 0.000 0.000 0.306 [2 per cell]
Ti 0.000 0.000 0.500 [1 per cell]
Zn 0.500 0.500 0.000 [1 per cell]
Zn 0.500 0.500 0.205 [2 per cell]
Zn 0.500 0.500 0.408 [2 per cell]